First-principles (PBE) data for a relaxed structure of NbHPd, as listed in Alexandria via LeMat-Bulk.

a b c (Å): 3.9225 3.0182 6.0572
angles (deg): 90.00 90.00 90.00
Positions (direct):
1 H 0.0000 0.0000 0.8764
2 H 0.5000 0.5000 0.2107
3 Nb 0.5000 0.0000 0.4186
4 Nb 0.0000 0.5000 0.1297
5 Pd 0.5000 0.0000 0.8841
6 Pd 0.0000 0.5000 0.6329

Results
* distance to the lowest polymorph of the same formula: 0.055 eV/atom
* size of the total moment: 0.0 μB per formula unit
* space-group type: Pmm2

=====

First-principles (PBE) data for a relaxed structure of Nb3TePb, as listed in Alexandria via LeMat-Bulk.

a b c (Å): 5.1817 5.1817 5.1817
angles (deg): 90.00 90.00 90.00
Positions (direct):
1 Pb 0.0000 0.0000 0.0000
2 Nb 0.0000 0.5000 0.0000
3 Nb 0.0000 0.0000 0.5000
4 Nb 0.5000 0.0000 0.0000
5 Te 0.5000 0.5000 0.5000

Results
* distance to the lowest polymorph of the same formula: 0.634 eV/atom
* size of the total moment: 0.0 μB per formula unit
* space-group type: Pm-3m
* energy relative to the elements, uncorrected: 9.28 eV per formula unit

=====

First-principles (PBE) data for a relaxed structure of ScCdFeTe2, as listed in Alexandria via LeMat-Bulk.

a b c (Å): 5.1152 4.6133 5.1152
angles (deg): 90.00 90.00 90.00
Positions (direct):
1 Sc 0.0000 0.5000 0.0000
2 Te 0.0000 0.0000 0.5000
3 Te 0.5000 0.0000 0.0000
4 Fe 0.0000 0.0000 0.0000
5 Cd 0.5000 0.5000 0.5000

Results
* size of the total moment: 0.0 μB per formula unit
* space-group type: P4/mmm
* energy relative to the elements, uncorrected: 0.45 eV per formula unit

=====

First-principles (PBE) data for a relaxed structure of Sr2Li2CdAg5, as listed in Alexandria via LeMat-Bulk.

a b c (Å): 4.0804 10.4233 10.4233
angles (deg): 90.00 90.00 90.00
Positions (direct):
1 Sr 0.0000 0.6845 0.1845
2 Sr 0.0000 0.3155 0.8155
3 Sr 0.0000 0.1845 0.3155
4 Sr 0.0000 0.8155 0.6845
5 Li 0.0000 0.1143 0.6143
6 Li 0.0000 0.8857 0.3857
7 Li 0.0000 0.6143 0.8857
8 Li 0.0000 0.3857 0.1143
9 Cd 0.0000 0.0000 0.0000
10 Cd 0.0000 0.5000 0.5000
11 Ag 0.5000 0.2057 0.0529
12 Ag 0.5000 0.7943 0.9471
13 Ag 0.5000 0.0529 0.7943
14 Ag 0.5000 0.7057 0.4471
15 Ag 0.5000 0.9471 0.2057
16 Ag 0.5000 0.2943 0.5529
17 Ag 0.5000 0.5529 0.7057
18 Ag 0.5000 0.4471 0.2943
19 Ag 0.5000 0.5000 0.0000
20 Ag 0.5000 0.0000 0.5000

Results
* size of the total moment: 0.0 μB per formula unit
* space-group type: P4/mbm
* uncorrected energy: -2.41 eV per atom

=====

First-principles (PBE) data for a relaxed structure of TcS, as listed in Alexandria via LeMat-Bulk.

a b c (Å): 6.3176 5.8104 7.9529
angles (deg): 90.00 90.00 90.00
Positions (direct):
1 Tc 0.6777 0.1687 0.5061
2 Tc 0.1777 0.3313 0.4939
3 Tc 0.3223 0.6687 0.9939
4 Tc 0.8223 0.8313 0.0061
5 Tc 0.3893 0.9560 0.2849
6 Tc 0.8893 0.5440 0.7151
7 Tc 0.6107 0.4560 0.2151
8 Tc 0.1107 0.0440 0.7849
9 S 0.3487 0.9944 0.5672
10 S 0.8487 0.5056 0.4328
11 S 0.6513 0.4944 0.9328
12 S 0.1513 0.0056 0.0672
13 S 0.2821 0.5765 0.2781
14 S 0.7821 0.9235 0.7219
15 S 0.7179 0.0765 0.2219
16 S 0.2179 0.4235 0.7781

Results
* distance to the lowest polymorph of the same formula: 0.263 eV/atom
* size of the total moment: 0.0 μB per formula unit
* space-group type: P2_12_12_1
* energy relative to the elements, uncorrected: -0.25 eV per formula unit

=====

First-principles (PBE) data for a relaxed structure of Sr2Hf2Mg, as listed in Alexandria via LeMat-Bulk.

a b c (Å): 9.5718 9.5718 3.5202
angles (deg): 90.00 90.00 90.00
Positions (direct):
1 Sr 0.1914 0.6914 0.5000
2 Sr 0.6914 0.8086 0.5000
3 Sr 0.8086 0.3086 0.5000
4 Sr 0.3086 0.1914 0.5000
5 Mg 0.0000 0.0000 0.0000
6 Mg 0.5000 0.5000 0.0000
7 Hf 0.3972 0.8972 0.0000
8 Hf 0.8972 0.6028 0.0000
9 Hf 0.6028 0.1028 0.0000
10 Hf 0.1028 0.3972 0.0000

Results
* distance to the lowest polymorph of the same formula: 0.000 eV/atom
* size of the total moment: 0.0 μB per formula unit
* space-group type: P4/mbm

=====

First-principles (PBE) data for a relaxed structure of ErSc2Zn6, as listed in Alexandria via LeMat-Bulk.

a b c (Å): 3.2808 7.6141 7.6138
angles (deg): 120.00 90.00 90.00
Positions (direct):
1 Er 0.0000 0.0000 0.0000
2 Sc 0.9999 0.3334 0.6668
3 Sc 0.0001 0.6666 0.3332
4 Zn 0.4996 0.3370 0.3370
5 Zn 0.5004 0.6630 0.6630
6 Zn 0.5004 0.0000 0.6630
7 Zn 0.5000 0.6630 0.0000
8 Zn 0.5000 0.3370 0.0000
9 Zn 0.4996 0.0000 0.3370

Results
* size of the total moment: 0.0 μB per formula unit
* space-group type: P6/mmm
* uncorrected energy: -3.12 eV per atom

=====

First-principles (PBE) data for a relaxed structure of Re2TcAs, as listed in Alexandria via LeMat-Bulk.

a b c (Å): 2.9699 2.9699 6.6575
angles (deg): 90.00 90.00 90.00
Positions (direct):
1 Re 0.0000 0.0000 0.9903
2 Re 0.5000 0.5000 0.2502
3 As 0.5000 0.5000 0.7457
4 Tc 0.0000 0.0000 0.5138

Results
* size of the total moment: 0.0 μB per formula unit
* space-group type: P4mm
* uncorrected energy: -9.91 eV per atom

=====

Copy entry 3 word for word.
First-principles (PBE) data for a relaxed structure of ScCdFeTe2, as listed in Alexandria via LeMat-Bulk.

a b c (Å): 5.1152 4.6133 5.1152
angles (deg): 90.00 90.00 90.00
Positions (direct):
1 Sc 0.0000 0.5000 0.0000
2 Te 0.0000 0.0000 0.5000
3 Te 0.5000 0.0000 0.0000
4 Fe 0.0000 0.0000 0.0000
5 Cd 0.5000 0.5000 0.5000

Results
* size of the total moment: 0.0 μB per formula unit
* space-group type: P4/mmm
* energy relative to the elements, uncorrected: 0.45 eV per formula unit